DFT (PBE) results for a relaxed BaLiPrIn crystal.

```
4
Lattice="0.0000 4.0716 4.0716 4.0716 0.0000 4.0716 4.0716 4.0716 0.0000" Properties=species:S:1:pos:R:3 pbc="T T T"
Ba 0.0000 0.0000 0.0000
Li 2.0358 2.0358 2.0358
Pr 4.0716 4.0716 4.0716
In 6.1074 6.1074 6.1074
```

Properties
The energy of formation from the pure elements is -0.586 eV per formula unit.